[1]
VASP calculation (meta-GGA SCAN) on a PBEsol-optimized structure of LaZnOs2.

Structure (extended XYZ):
```
16
Lattice="6.5538 0.0000 0.0000 0.0000 6.5538 0.0000 0.0000 0.0000 6.5538" Properties=species:S:1:pos:R:3 pbc="T T T"
La 0.0000 0.0000 0.0000
La 0.0000 3.2769 3.2769
La 3.2769 0.0000 3.2769
La 3.2769 3.2769 0.0000
Zn 1.6384 1.6384 4.9153
Zn 1.6384 4.9153 1.6384
Zn 4.9153 1.6384 1.6384
Zn 4.9153 4.9153 4.9153
Os 0.0000 0.0000 3.2769
Os 0.0000 3.2769 0.0000
Os 1.6384 1.6384 1.6384
Os 1.6384 4.9153 4.9153
Os 3.2769 0.0000 0.0000
Os 3.2769 3.2769 3.2769
Os 4.9153 1.6384 4.9153
Os 4.9153 4.9153 1.6384
```

Calculated values
M_tot (μB/cell): 0.00
VASP energy (eV per cell): -792.15
Fermi-level density of states (states/eV per atom): 1.120
ΔH_f (0 K) (eV/atom): 0.59
Symmetry: No. 216

=====

[2]
VASP calculation (meta-GGA SCAN) on a PBEsol-optimized structure of CuRh5.

Structure (extended XYZ):
```
12
Lattice="3.7597 0.0000 0.0000 0.0000 11.3048 0.0000 0.0000 0.0000 3.7389" Properties=species:S:1:pos:R:3 pbc="T T T"
Cu 0.0000 0.0000 0.0000
Cu 1.8798 5.6524 0.0000
Rh 0.0000 1.8610 1.8695
Rh 0.0000 3.7423 0.0000
Rh 0.0000 5.6524 1.8695
Rh 0.0000 7.5625 0.0000
Rh 0.0000 9.4438 1.8695
Rh 1.8798 0.0000 1.8695
Rh 1.8798 1.9101 0.0000
Rh 1.8798 3.7914 1.8695
Rh 1.8798 7.5134 1.8695
Rh 1.8798 9.3947 0.0000
```

Calculated values
M_tot (μB/cell): 0.02
Energy above the most stable polymorph in this dataset (meV/atom): 0
VASP energy (eV per cell): -367.27
Fermi-level density of states (states/eV per atom): 1.589
ΔH_f (0 K) (eV/atom): 0.07
Symmetry: No. 65

=====

[3]
VASP calculation (meta-GGA SCAN) on a PBEsol-optimized structure of NaRe2NiB.

Structure (extended XYZ):
```
5
Lattice="4.5783 0.0000 0.0000 0.0000 4.5783 0.0000 0.0000 0.0000 3.6601" Properties=species:S:1:pos:R:3 pbc="T T T"
Na 0.0000 0.0000 0.0000
Re 0.0000 2.2892 1.8300
Re 2.2892 0.0000 1.8300
Ni 2.2892 2.2892 1.8300
B 2.2892 2.2892 0.0000
```

Calculated values
M_tot (μB/cell): 3.26
VASP energy (eV per cell): -161.07
Fermi-level density of states (states/eV per atom): 0.934
ΔH_f (0 K) (eV/atom): 1.79
Symmetry: No. 123

=====

[4]
VASP calculation (meta-GGA SCAN) on a PBEsol-optimized structure of Ce2CuBiS5.

Structure (extended XYZ):
```
36
Lattice="11.8905 0.0000 0.0000 0.0000 3.8549 0.0000 0.0000 0.0000 16.5693" Properties=species:S:1:pos:R:3 pbc="T T T"
Ce 0.5306 0.9637 2.8803
Ce 1.4765 2.8912 9.9628
Ce 4.4688 0.9637 1.6781
Ce 5.4146 2.8912 11.1650
Ce 6.4759 0.9637 5.4043
Ce 7.4217 2.8912 14.8912
Ce 10.4140 0.9637 6.6065
Ce 11.3598 2.8912 13.6890
Cu 0.9937 2.8912 16.5237
Cu 4.9515 0.9637 8.2390
Cu 6.9389 2.8912 8.3303
Cu 10.8968 0.9637 0.0457
Bi 2.3559 2.8912 6.0524
Bi 3.5893 0.9637 14.3371
Bi 8.3011 2.8912 2.2322
Bi 9.5346 0.9637 10.5169
S 0.1440 0.9637 11.6539
S 0.9766 0.9637 15.2484
S 1.2016 0.9637 7.8137
S 2.3188 2.8912 1.7793
S 2.8452 2.8912 12.6100
S 3.1000 0.9637 4.3253
S 3.6264 0.9637 10.0640
S 4.7436 2.8912 16.0984
S 4.9686 2.8912 6.9638
S 5.8013 2.8912 3.3693
S 6.0892 0.9637 13.2001
S 6.9219 0.9637 9.6056
S 7.1469 0.9637 0.4709
S 8.2641 2.8912 6.5053
S 8.7905 2.8912 12.2440
S 9.0453 0.9637 3.9594
S 9.5717 0.9637 14.7900
S 10.6888 2.8912 8.7556
S 10.9138 2.8912 1.3209
S 11.7465 2.8912 4.9154
```

Calculated values
Formation energy (no corrections) (eV/atom): -1.428
M_tot (μB/cell): 8.01
VASP energy (eV per cell): -975.59
Fermi-level density of states (states/eV per atom): 0.173
Symmetry: No. 62

=====

[5]
VASP calculation (meta-GGA SCAN) on a PBEsol-optimized structure of BaZnHg2Ge.

Structure (extended XYZ):
```
5
Lattice="5.3866 0.0000 0.0000 0.0000 5.3866 0.0000 0.0000 0.0000 4.8293" Properties=species:S:1:pos:R:3 pbc="T T T"
Ba 0.0000 0.0000 0.0000
Zn 2.6933 2.6933 0.0000
Hg 0.0000 2.6933 2.4147
Hg 2.6933 0.0000 2.4147
Ge 2.6933 2.6933 2.4147
```

Calculated values
M_tot (μB/cell): 0.00
VASP energy (eV per cell): -209.25
Fermi-level density of states (states/eV per atom): 0.498
ΔH_f (0 K) (eV/atom): -0.15
Symmetry: No. 123

=====

[6]
VASP calculation (meta-GGA SCAN) on a PBEsol-optimized structure of Li3ZnP.

Structure (extended XYZ):
```
5
Lattice="4.6872 0.0000 0.0000 0.0000 4.6872 0.0000 0.0000 0.0000 4.6872" Properties=species:S:1:pos:R:3 pbc="T T T"
Li 0.0000 0.0000 2.3436
Li 0.0000 2.3436 0.0000
Li 2.3436 0.0000 0.0000
Zn 2.3436 2.3436 2.3436
P 0.0000 0.0000 0.0000
```

Calculated values
M_tot (μB/cell): 0.00
VASP energy (eV per cell): -32.55
Fermi-level density of states (states/eV per atom): 0.004
ΔH_f (0 K) (eV/atom): -0.29
Symmetry: No. 221

=====

[7]
VASP calculation (meta-GGA SCAN) on a PBEsol-optimized structure of Ba2MnTe.

Structure (extended XYZ):
```
4
Lattice="4.2201 0.0000 0.0000 0.0000 5.7019 0.0000 0.0000 0.0000 5.7024" Properties=species:S:1:pos:R:3 pbc="T T T"
Ba 0.0000 0.0000 0.0000
Ba 0.0000 2.8510 2.8259
Mn 2.1100 0.0000 2.8577
Te 2.1100 2.8510 5.6705
```

Calculated values
Formation energy (no corrections) (eV/atom): -0.607
M_tot (μB/cell): 4.41
VASP energy (eV per cell): -137.04
Fermi-level density of states (states/eV per atom): 0.724
Symmetry: No. 25

=====

[8]
VASP calculation (meta-GGA SCAN) on a PBEsol-optimized structure of ScCuMo2.

Structure (extended XYZ):
```
8
Lattice="3.2563 0.0000 0.0000 0.0000 4.3992 0.0000 0.0000 0.0000 8.6513" Properties=species:S:1:pos:R:3 pbc="T T T"
Sc 0.0000 0.0000 0.0000
Sc 1.6281 2.1996 0.0000
Cu 0.0000 2.1996 6.4844
Cu 1.6281 0.0000 6.4844
Mo 0.0000 0.0000 4.4733
Mo 0.0000 2.1996 2.3525
Mo 1.6281 0.0000 2.3525
Mo 1.6281 2.1996 4.4733
```

Calculated values
M_tot (μB/cell): 0.00
Energy above the most stable polymorph in this dataset (meV/atom): 0
VASP energy (eV per cell): -197.08
Fermi-level density of states (states/eV per atom): 0.657
ΔH_f (0 K) (eV/atom): 0.17
Symmetry: No. 35

=====

[9]
VASP calculation (meta-GGA SCAN) on a PBEsol-optimized structure of RbCoN.

Structure (extended XYZ):
```
12
Lattice="10.6017 0.0000 0.0000 0.0000 3.4501 0.0000 0.0000 0.0000 6.3525" Properties=species:S:1:pos:R:3 pbc="T T T"
Rb 1.7388 0.8625 0.4698
Rb 3.5620 2.5875 3.6461
Rb 7.0396 0.8625 2.7064
Rb 8.8629 2.5875 5.8827
Co 0.4550 0.8625 3.7837
Co 4.8459 2.5875 0.6074
Co 5.7558 0.8625 5.7451
Co 10.1467 2.5875 2.5688
N 0.6671 2.5875 4.1018
N 4.6337 0.8625 0.9255
N 5.9680 2.5875 5.4270
N 9.9346 0.8625 2.2507
```

Calculated values
Formation energy (no corrections) (eV/atom): -0.012
M_tot (μB/cell): 1.85
VASP energy (eV per cell): -189.49
Fermi-level density of states (states/eV per atom): 0.457
Symmetry: No. 62

=====

[10]
VASP calculation (meta-GGA SCAN) on a PBEsol-optimized structure of Zr2C3.

Structure (extended XYZ):
```
15
Lattice="3.2111 0.0000 0.0000 -1.6056 2.7809 0.0000 0.0000 0.0000 18.0066" Properties=species:S:1:pos:R:3 pbc="T T T"
Zr 0.0000 0.0000 1.6322
Zr 0.0000 0.0000 16.3744
Zr 0.0000 1.8540 10.3722
Zr 0.0000 1.8540 13.6366
Zr 1.6056 0.9270 4.3700
Zr 1.6056 0.9270 7.6344
C 0.0000 0.0000 5.9454
C 0.0000 0.0000 9.0033
C 0.0000 0.0000 12.0613
C 0.0000 1.8540 3.0011
C 0.0000 1.8540 6.0591
C 0.0000 1.8540 17.9498
C 1.6056 0.9270 0.0568
C 1.6056 0.9270 11.9476
C 1.6056 0.9270 15.0055
```

Calculated values
M_tot (μB/cell): 0.00
VASP energy (eV per cell): -274.76
Fermi-level density of states (states/eV per atom): 0.228
ΔH_f (0 K) (eV/atom): 0.02
Symmetry: No. 166

=====

[11]
VASP calculation (meta-GGA SCAN) on a PBEsol-optimized structure of BaMo5.

Structure (extended XYZ):
```
6
Lattice="3.1523 0.0000 0.0000 0.0000 3.1523 0.0000 0.0000 0.0000 11.2278" Properties=species:S:1:pos:R:3 pbc="T T T"
Ba 0.0000 0.0000 0.0000
Mo 0.0000 0.0000 4.0353
Mo 0.0000 0.0000 7.1925
Mo 1.5762 1.5762 2.6261
Mo 1.5762 1.5762 5.6139
Mo 1.5762 1.5762 8.6017
```

Calculated values
M_tot (μB/cell): 0.00
VASP energy (eV per cell): -210.58
Fermi-level density of states (states/eV per atom): 1.068
ΔH_f (0 K) (eV/atom): 0.57
Symmetry: No. 123

=====

[12]
VASP calculation (meta-GGA SCAN) on a PBEsol-optimized structure of BeNbH2.

Structure (extended XYZ):
```
16
Lattice="3.8087 0.0000 0.0000 0.0000 3.8087 0.0000 0.0000 0.0000 9.0407" Properties=species:S:1:pos:R:3 pbc="T T T"
Be 0.0000 0.0000 0.0000
Be 0.0000 1.9043 2.2602
Be 1.9043 0.0000 6.7805
Be 1.9043 1.9043 4.5204
Nb 0.0000 0.0000 4.5204
Nb 0.0000 1.9043 6.7805
Nb 1.9043 0.0000 2.2602
Nb 1.9043 1.9043 0.0000
H 0.6893 0.9522 1.1301
H 0.9522 2.5936 3.3903
H 0.9522 3.1194 7.9106
H 1.2151 0.9522 5.6505
H 2.5936 2.8565 5.6505
H 2.8565 0.6893 7.9106
H 2.8565 1.2151 3.3903
H 3.1194 2.8565 1.1301
```

Calculated values
M_tot (μB/cell): 0.00
VASP energy (eV per cell): -175.86
Fermi-level density of states (states/eV per atom): 0.355
Symmetry: No. 122

=====

[13]
VASP calculation (meta-GGA SCAN) on a PBEsol-optimized structure of KLaPt.

Structure (extended XYZ):
```
6
Lattice="3.7139 0.0000 0.0000 0.0000 3.7139 0.0000 0.0000 0.0000 14.6287" Properties=species:S:1:pos:R:3 pbc="T T T"
K 0.0000 0.0000 0.0000
K 1.8570 1.8570 7.3144
La 0.0000 0.0000 11.0208
La 1.8570 1.8570 3.7064
Pt 0.0000 0.0000 4.9349
Pt 1.8570 1.8570 12.2493
```

Calculated values
M_tot (μB/cell): 0.00
VASP energy (eV per cell): -246.70
Fermi-level density of states (states/eV per atom): 0.860
ΔH_f (0 K) (eV/atom): -0.57
Symmetry: No. 107